A relaxed BaMg2Ta crystal. Source: Alexandria, functional GGA-PBE.

```
BaMg2Ta
1.0
-2.538 2.538 10.568
2.538 -2.538 10.568
2.538 2.538 -10.568
Ba Mg Ta
2 4 2
Direct
0.000 0.000 0.000
0.750 0.250 0.500
0.249 0.625 0.124
0.375 0.499 0.624
0.501 0.125 0.876
0.875 0.751 0.376
0.250 0.750 0.500
0.500 0.500 0.000
```

- final energy (eV per atom) = -3.189
- SG = I-42d
- formation enthalpy at 0 K (kJ/mol of formula units) = 406

A relaxed BaMg2Ta crystal. Source: Alexandria, functional GGA-PBE.

```
BaMg2Ta
1.0
0.000 3.744 3.744
3.744 0.000 3.744
3.744 3.744 0.000
Ba Mg Ta
1 2 1
Direct
0.000 0.000 0.000
0.250 0.250 0.250
0.750 0.750 0.750
0.500 0.500 0.500
```

- final energy (eV per atom) = -3.476
- SG = Fm-3m
- formation enthalpy at 0 K (kJ/mol of formula units) = 295

A relaxed BaMgTa2 crystal. Source: Alexandria, functional GGA-PBE.

```
BaMgTa2
1.0
3.758 0.000 0.000
0.000 3.758 0.000
0.000 0.000 7.489
Ba Mg Ta
1 1 2
Direct
0.000 0.000 0.000
0.000 0.000 0.500
0.500 0.500 0.339
0.500 0.500 0.661
```

- final energy (eV per atom) = -5.833
- SG = P4/mmm
- formation enthalpy at 0 K (kJ/mol of formula units) = 375

A relaxed Ba3MgTa crystal. Source: Alexandria, functional GGA-PBE.

```
Ba3MgTa
1.0
6.198 0.000 0.000
0.000 6.198 0.000
0.000 0.000 6.198
Ba Mg Ta
3 1 1
Direct
0.000 0.000 0.500
0.000 0.500 0.000
0.500 0.000 0.000
0.500 0.500 0.500
0.000 0.000 0.000
```

- final energy (eV per atom) = -2.994
- SG = Pm-3m
- formation enthalpy at 0 K (kJ/mol of formula units) = 409

Number 1: DOS(E_F) 0.588 states/eV per atom. Number 2: DOS(E_F) 1.270 states/eV per atom. Number 3: DOS(E_F) 1.401 states/eV per atom. Number 4: DOS(E_F) 0.831 states/eV per atom.